# 1
# KReSb2Te

KReSb2Te after structural relaxation (PBE, Alexandria via LeMat-Bulk).

a = 5.476 Å, b = 5.476 Å, c = 5.576 Å
α = 90.00°, β = 90.00°, γ = 90.00°
Positions (direct):
Re (0.500, 0.500, 0.500)
Sb (0.000, 0.500, 0.000)
Sb (0.500, 0.000, 0.000)
K (0.000, 0.000, 0.000)
Te (0.000, 0.000, 0.500)

Computed properties:
**Total magnetic moment**: 0.0 μB per formula unit
**Formation energy without anion corrections**: 12.67 eV per formula unit
**E**: -12.3 eV per cell
**ΔE to the lowest computed polymorph**: 1083.2 kJ/mol of formula units

=====

# 2
# AcPr2TmAs4

AcPr2TmAs4 after structural relaxation (PBE, Alexandria via LeMat-Bulk).

a = 4.319 Å, b = 7.476 Å, c = 7.470 Å
α = 70.63°, β = 90.00°, γ = 90.00°
Positions (direct):
As (0.500, 0.256, 0.736)
As (0.000, 0.753, 0.737)
As (0.000, 0.247, 0.263)
As (0.500, 0.744, 0.264)
Pr (0.000, 0.000, 0.000)
Pr (0.500, 0.000, 0.500)
Ac (0.500, 0.500, 0.000)
Tm (0.000, 0.500, 0.500)

Computed properties:
**Total magnetic moment**: 0.0 μB per formula unit
**E**: -48.3 eV per cell
**ΔE_f**: -1.4469 eV per atom

=====

# 3
# Sc2BiAu

Sc2BiAu after structural relaxation (PBE, Alexandria via LeMat-Bulk).

a = 9.626 Å, b = 9.626 Å, c = 9.626 Å
α = 22.12°, β = 22.12°, γ = 22.12°
Positions (direct):
Au (0.500, 0.500, 0.500)
Sc (0.105, 0.105, 0.105)
Sc (0.895, 0.895, 0.895)
Bi (0.000, 0.000, 0.000)

Computed properties:
**Total magnetic moment**: 0.0 μB per formula unit
**E**: -20.7 eV per cell
**ΔE_f**: -0.2279 eV per atom

=====

# 4
# Cs2Y2TiSe6

Cs2Y2TiSe6 after structural relaxation (PBE, Alexandria via LeMat-Bulk).

a = 6.989 Å, b = 6.989 Å, c = 8.898 Å
α = 98.09°, β = 98.09°, γ = 119.56°
Positions (direct):
Ti (0.000, 0.000, 0.500)
Y (0.667, 0.333, 0.500)
Y (0.333, 0.667, 0.500)
Se (0.371, 0.065, 0.679)
Se (0.935, 0.629, 0.321)
Se (0.756, 0.756, 0.677)
Se (0.244, 0.244, 0.323)
Se (0.065, 0.371, 0.679)
Se (0.629, 0.935, 0.321)
Cs (0.828, 0.172, 0.000)
Cs (0.172, 0.828, 0.000)

Computed properties:
**Total magnetic moment**: 0.0 μB per formula unit
**Formation energy without anion corrections**: -17.03 eV per formula unit
**E**: -60.5 eV per cell